# Nd3BiPb (PBE-GGA, relaxed)
data_Nd3BiPb
_chemical_formula_sum 'Nd6 Bi2 Pb2'
_space_group_name_H-M_alt 'P 1 21/m 1'
_space_group_IT_number 11
_space_group_name_Hall '-P 2yb'
_cell_length_a 8.8899
_cell_length_b 4.4945
_cell_length_c 9.9346
_cell_angle_alpha 90.00
_cell_angle_beta 113.90
_cell_angle_gamma 90.00
loop_
_atom_site_label
_atom_site_type_symbol
_atom_site_fract_x
_atom_site_fract_y
_atom_site_fract_z
Nd1 Nd 0.1776 0.2500 0.0043
Nd2 Nd 0.1800 0.2500 0.6209
Nd3 Nd 0.3057 0.7500 0.3545
Bi1 Bi 0.4682 0.7500 0.7189
Pb1 Pb 0.0071 0.2500 0.2502
# DOS at the Fermi energy in states/eV per cell: 7.06
# Energy of formation from the pure elements in meV/atom: -520
# Raw total energy in eV per atom: -4.899
# M_tot in μB per formula unit: 1.7

=====

# TbUSi (PBE-GGA, relaxed)
data_TbUSi
_chemical_formula_sum 'Tb8 U8 Si8'
_space_group_name_H-M_alt 'C 1 2/m 1'
_space_group_IT_number 12
_space_group_name_Hall '-C 2y'
_cell_length_a 17.5204
_cell_length_b 4.0029
_cell_length_c 8.6075
_cell_angle_alpha 90.00
_cell_angle_beta 114.17
_cell_angle_gamma 90.00
loop_
_atom_site_label
_atom_site_type_symbol
_atom_site_fract_x
_atom_site_fract_y
_atom_site_fract_z
Tb1 Tb 0.0649 0.0000 0.3817
Tb2 Tb 0.1585 0.0000 0.8815
U1 U 0.1677 0.5000 0.2236
U2 U 0.2391 0.5000 0.6306
Si1 Si 0.0283 0.5000 0.8825
Si2 Si 0.0662 0.5000 0.6275
# DOS at the Fermi energy in states/eV per cell: 37.64
# Raw total energy in eV per atom: -7.318
# M_tot in μB per formula unit: 1.0
# E_form (uncorrected) in eV per atom: -0.20

=====

# Y2TlFe (PBE-GGA, relaxed)
data_Y2TlFe
_chemical_formula_sum 'Y4 Tl2 Fe2'
_space_group_name_H-M_alt 'A m m 2'
_space_group_IT_number 38
_space_group_name_Hall 'A 2 -2'
_cell_length_a 4.4965
_cell_length_b 3.8984
_cell_length_c 11.4070
_cell_angle_alpha 90.00
_cell_angle_beta 90.00
_cell_angle_gamma 90.00
loop_
_atom_site_label
_atom_site_type_symbol
_atom_site_fract_x
_atom_site_fract_y
_atom_site_fract_z
Y1 Y 0.0000 0.0000 0.0000
Y2 Y 0.5000 0.0000 0.3011
Tl1 Tl 0.0000 0.0000 0.7174
Fe1 Fe 0.5000 0.0000 0.5718
# DOS at the Fermi energy in states/eV per cell: 8.85
# Energy of formation from the pure elements in meV/atom: -35
# Raw total energy in eV per atom: -5.975
# M_tot in μB per formula unit: 1.6

=====

# Cu2WBr (PBE-GGA, relaxed)
data_Cu2WBr
_chemical_formula_sum 'Cu4 W2 Br2'
_space_group_name_H-M_alt 'C m m m'
_space_group_IT_number 65
_space_group_name_Hall '-C 2 2'
_cell_length_a 5.0793
_cell_length_b 8.6129
_cell_length_c 2.8611
_cell_angle_alpha 90.00
_cell_angle_beta 90.00
_cell_angle_gamma 90.00
loop_
_atom_site_label
_atom_site_type_symbol
_atom_site_fract_x
_atom_site_fract_y
_atom_site_fract_z
Cu1 Cu 0.2500 0.2500 0.0000
W1 W 0.0000 0.0000 0.5000
Br1 Br 0.0000 0.5000 0.5000
# DOS at the Fermi energy in states/eV per cell: 6.85
# Raw total energy in eV per atom: -4.869
# M_tot in μB per formula unit: 0.0
# E_form (uncorrected) in eV per atom: 0.84

=====

# MnVTe6 (PBE-GGA, relaxed)
data_MnVTe6
_chemical_formula_sum 'Mn1 V1 Te6'
_space_group_name_H-M_alt 'P -1'
_space_group_IT_number 2
_space_group_name_Hall '-P 1'
_cell_length_a 6.4419
_cell_length_b 6.6729
_cell_length_c 6.7181
_cell_angle_alpha 85.54
_cell_angle_beta 62.15
_cell_angle_gamma 61.33
loop_
_atom_site_label
_atom_site_type_symbol
_atom_site_fract_x
_atom_site_fract_y
_atom_site_fract_z
Mn1 Mn 0.0000 0.0000 0.0000
V1 V 0.0000 0.5000 0.5000
Te1 Te 0.1223 0.5891 0.8073
Te2 Te 0.1901 0.7700 0.2704
Te3 Te 0.4872 0.0987 0.3029
# DOS at the Fermi energy in states/eV per cell: 5.49
# Raw total energy in eV per atom: -4.738
# M_tot in μB per formula unit: 4.2
# E_form (uncorrected) in eV per atom: -0.10

=====

# PrHgN (PBE-GGA, relaxed)
data_PrHgN
_chemical_formula_sum 'Pr4 Hg4 N4'
_space_group_name_H-M_alt 'I m m m'
_space_group_IT_number 71
_space_group_name_Hall '-I 2 2'
_cell_length_a 4.0971
_cell_length_b 5.2373
_cell_length_c 13.7126
_cell_angle_alpha 90.00
_cell_angle_beta 90.00
_cell_angle_gamma 90.00
loop_
_atom_site_label
_atom_site_type_symbol
_atom_site_fract_x
_atom_site_fract_y
_atom_site_fract_z
Pr1 Pr 0.0000 0.0000 0.1953
Hg1 Hg 0.0000 0.2466 0.5000
N1 N 0.0000 0.5000 0.2236
# DOS at the Fermi energy in states/eV per cell: 3.52
# Raw total energy in eV per atom: -4.960
# M_tot in μB per formula unit: 0.0
# E_form (uncorrected) in eV per atom: -0.49

=====

# CePaGa5 (PBE-GGA, relaxed)
data_CePaGa5
_chemical_formula_sum 'Ce1 Pa1 Ga5'
_space_group_name_H-M_alt 'P 4/m m m'
_space_group_IT_number 123
_space_group_name_Hall '-P 4 2'
_cell_length_a 4.8505
_cell_length_b 4.8505
_cell_length_c 6.6872
_cell_angle_alpha 90.00
_cell_angle_beta 90.00
_cell_angle_gamma 90.00
loop_
_atom_site_label
_atom_site_type_symbol
_atom_site_fract_x
_atom_site_fract_y
_atom_site_fract_z
Ce1 Ce 0.0000 0.0000 0.0000
Pa1 Pa 0.5000 0.5000 0.5000
Ga1 Ga 0.0000 0.5000 0.2614
Ga2 Ga 0.5000 0.5000 0.0000
# DOS at the Fermi energy in states/eV per cell: 8.58
# Energy of formation from the pure elements in meV/atom: -115
# Raw total energy in eV per atom: -4.481
# M_tot in μB per formula unit: 0.6

=====

# Dy3PuCl2O6 (PBE-GGA, relaxed)
data_Dy3PuCl2O6
_chemical_formula_sum 'Dy6 Pu2 Cl4 O12'
_space_group_name_H-M_alt 'C 1 2/m 1'
_space_group_IT_number 12
_space_group_name_Hall '-C 2y'
_cell_length_a 12.0407
_cell_length_b 6.7492
_cell_length_c 5.4342
_cell_angle_alpha 90.00
_cell_angle_beta 101.49
_cell_angle_gamma 90.00
loop_
_atom_site_label
_atom_site_type_symbol
_atom_site_fract_x
_atom_site_fract_y
_atom_site_fract_z
Dy1 Dy 0.0000 0.0000 0.0000
Dy2 Dy 0.2500 0.2500 0.5000
Pu1 Pu 0.0000 0.5000 0.5000
Cl1 Cl 0.1978 0.0000 0.8403
O1 O 0.0662 0.2505 0.2917
O2 O 0.1733 0.5000 0.6647
# DOS at the Fermi energy in states/eV per cell: 18.07
# Raw total energy in eV per atom: -7.970
# M_tot in μB per formula unit: 3.0
# E_form (uncorrected) in eV per atom: -2.84

=====

# Ce2DyN3 (PBE-GGA, relaxed)
data_Ce2DyN3
_chemical_formula_sum 'Ce8 Dy4 N12'
_space_group_name_H-M_alt 'C 1 2/m 1'
_space_group_IT_number 12
_space_group_name_Hall '-C 2y'
_cell_length_a 6.1234
_cell_length_b 10.6056
_cell_length_c 6.1286
_cell_angle_alpha 90.00
_cell_angle_beta 109.42
_cell_angle_gamma 90.00
loop_
_atom_site_label
_atom_site_type_symbol
_atom_site_fract_x
_atom_site_fract_y
_atom_site_fract_z
Ce1 Ce 0.0000 0.0000 0.0000
Ce2 Ce 0.0000 0.1670 0.5000
Ce3 Ce 0.0000 0.5000 0.5000
Dy1 Dy 0.0000 0.3334 0.0000
N1 N 0.2481 0.5000 0.2465
N2 N 0.2498 0.1671 0.2480
# DOS at the Fermi energy in states/eV per cell: 19.78
# Raw total energy in eV per atom: -8.466
# M_tot in μB per formula unit: 0.5
# E_form (uncorrected) in eV per atom: -1.56

=====

# HgW2I (PBE-GGA, relaxed)
data_HgW2I
_chemical_formula_sum 'Hg4 W8 I4'
_space_group_name_H-M_alt 'F m -3 m'
_space_group_IT_number 225
_space_group_name_Hall '-F 4 2 3'
_cell_length_a 6.6645
_cell_length_b 6.6645
_cell_length_c 6.6645
_cell_angle_alpha 90.00
_cell_angle_beta 90.00
_cell_angle_gamma 90.00
loop_
_atom_site_label
_atom_site_type_symbol
_atom_site_fract_x
_atom_site_fract_y
_atom_site_fract_z
Hg1 Hg 0.0000 0.0000 0.0000
W1 W 0.2500 0.2500 0.2500
I1 I 0.0000 0.0000 0.5000
# DOS at the Fermi energy in states/eV per cell: 26.36
# Raw total energy in eV per atom: -5.482
# M_tot in μB per formula unit: 0.0
# E_form (uncorrected) in eV per atom: 1.46

=====

# Ba2ReIr (PBE-GGA, relaxed)
data_Ba2ReIr
_chemical_formula_sum 'Ba4 Re2 Ir2'
_space_group_name_H-M_alt 'C 1 m 1'
_space_group_IT_number 8
_space_group_name_Hall 'C -2y'
_cell_length_a 7.4404
_cell_length_b 4.2955
_cell_length_c 9.3931
_cell_angle_alpha 90.00
_cell_angle_beta 105.22
_cell_angle_gamma 90.00
loop_
_atom_site_label
_atom_site_type_symbol
_atom_site_fract_x
_atom_site_fract_y
_atom_site_fract_z
Ba1 Ba 0.0000 0.0000 0.0000
Ba2 Ba 0.1763 0.0000 0.5304
Re1 Re 0.4183 0.0000 0.2557
Ir1 Ir 0.2586 0.5000 0.2768
# DOS at the Fermi energy in states/eV per cell: 7.12
# Energy of formation from the pure elements in meV/atom: 116
# Raw total energy in eV per atom: -6.172
# M_tot in μB per formula unit: 0.9

=====

# Np3Tl4AuSe8 (PBE-GGA, relaxed)
data_Np3Tl4AuSe8
_chemical_formula_sum 'Np6 Tl8 Au2 Se16'
_space_group_name_H-M_alt 'C 1 2/m 1'
_space_group_IT_number 12
_space_group_name_Hall '-C 2y'
_cell_length_a 14.4032
_cell_length_b 8.2543
_cell_length_c 9.1445
_cell_angle_alpha 90.00
_cell_angle_beta 121.64
_cell_angle_gamma 90.00
loop_
_atom_site_label
_atom_site_type_symbol
_atom_site_fract_x
_atom_site_fract_y
_atom_site_fract_z
Np1 Np 0.0000 0.0000 0.0000
Np2 Np 0.2500 0.2500 0.0000
Tl1 Tl 0.0000 0.0000 0.5000
Tl2 Tl 0.0000 0.5000 0.5000
Tl3 Tl 0.2500 0.2500 0.5000
Au1 Au 0.0000 0.5000 0.0000
Se1 Se 0.0172 0.2469 0.7971
Se2 Se 0.2347 0.0000 0.2052
Se3 Se 0.2408 0.5000 0.2063
# DOS at the Fermi energy in states/eV per cell: 62.66
# Raw total energy in eV per atom: -5.685
# M_tot in μB per formula unit: 10.0
# E_form (uncorrected) in eV per atom: -0.72

=====

- What is the M_tot in the fifth record?
  4.2 μB per formula unit

=====

- Which of these has the lowest DOS at the Fermi energy?
  PrHgN

=====

- DOS at the Fermi energy of number 6 (PrHgN)?
  3.52 states/eV per cell

=====

- Number 1 is which compound?
  Nd3BiPb